Sr2LiFe (meta-GGA SCAN, PBEsol geometry); E = -254.02 eV per cell; energy relative to the elements = 0.39 eV/atom; total magnetization = 12.411 μB/cell
1.0
7.7030 0.0000 0.0000
0.0000 7.7030 0.0000
0.0000 0.0000 7.7030
Sr Li Fe
8 4 4
Direct
0.2500 0.2500 0.2500
0.2500 0.2500 0.7500
0.2500 0.7500 0.2500
0.2500 0.7500 0.7500
0.7500 0.2500 0.2500
0.7500 0.2500 0.7500
0.7500 0.7500 0.2500
0.7500 0.7500 0.7500
0.0000 0.0000 0.0000
0.0000 0.5000 0.5000
0.5000 0.0000 0.5000
0.5000 0.5000 0.0000
0.0000 0.0000 0.5000
0.0000 0.5000 0.0000
0.5000 0.0000 0.0000
0.5000 0.5000 0.5000